Record 1
Below is BiBW2 after structural relaxation, with properties calculated at the PBE level.

abc: 6.352 6.352 6.352
angles: 90.00 90.00 90.00
Fractional positions:
Bi: 0.000 0.000 0.000
Bi: 0.000 0.500 0.500
Bi: 0.500 0.000 0.500
Bi: 0.500 0.500 0.000
B: 0.000 0.000 0.500
B: 0.000 0.500 0.000
B: 0.500 0.000 0.000
B: 0.500 0.500 0.500
W: 0.250 0.250 0.250
W: 0.250 0.250 0.750
W: 0.250 0.750 0.250
W: 0.250 0.750 0.750
W: 0.750 0.250 0.250
W: 0.750 0.250 0.750
W: 0.750 0.750 0.250
W: 0.750 0.750 0.750

Values from the calculation:
- Space-group type: Fm-3m, No. 225
- E: -0.5642 Ry per atom
- Formation energy: 1.440 eV/atom

---

Record 2
Below is Rb3Ho3TmTe8 after structural relaxation, with properties calculated at the PBE level.

abc: 10.201 10.201 10.201
angles: 50.92 50.92 50.92
Fractional positions:
Rb: 0.000 0.500 0.500
Rb: 0.500 0.000 0.500
Rb: 0.500 0.500 0.000
Ho: 0.000 0.000 0.500
Ho: 0.000 0.500 0.000
Ho: 0.500 0.000 0.000
Tm: 0.500 0.500 0.500
Te: 0.232 0.733 0.733
Te: 0.233 0.233 0.233
Te: 0.267 0.267 0.768
Te: 0.267 0.768 0.267
Te: 0.733 0.232 0.733
Te: 0.733 0.733 0.232
Te: 0.767 0.767 0.767
Te: 0.768 0.267 0.267

Values from the calculation:
- Space-group type: R-3m, No. 166
- E: -0.3226 Ry per atom

---

Record 3
Below is Re5Mo after structural relaxation, with properties calculated at the PBE level.

abc: 10.258 2.778 6.619
angles: 90.00 105.34 90.00
Fractional positions:
Re: 0.000 0.000 0.000
Re: 0.053 0.000 0.618
Re: 0.224 0.500 0.947
Re: 0.336 0.000 0.677
Re: 0.396 0.000 0.281
Re: 0.500 0.500 0.000
Re: 0.553 0.500 0.618
Re: 0.724 0.000 0.947
Re: 0.836 0.500 0.677
Re: 0.896 0.500 0.281
Mo: 0.170 0.500 0.339
Mo: 0.670 0.000 0.339

Values from the calculation:
- Space-group type: Cm, No. 8
- E: -0.8894 Ry per atom
- Formation energy: 0.077 eV/atom

---

Record 4
Below is KNa2GaAg after structural relaxation, with properties calculated at the PBE level.

abc: 5.777 5.777 4.997
angles: 90.00 90.00 90.00
Fractional positions:
K: 0.000 0.000 0.000
Na: 0.000 0.500 0.500
Na: 0.500 0.000 0.500
Ga: 0.500 0.500 0.000
Ag: 0.500 0.500 0.500

Values from the calculation:
- Space-group type: P4/mmm, No. 123
- E: -0.1391 Ry per atom
- Formation energy: 0.030 eV/atom

---

Record 5
Below is Ac2LaPmPr4 after structural relaxation, with properties calculated at the PBE level.

abc: 9.973 9.973 7.221
angles: 111.04 111.04 89.01
Fractional positions:
Ac: 0.000 0.000 0.000
Ac: 0.000 0.000 0.500
Ac: 0.000 0.500 0.000
Ac: 0.500 0.000 0.500
La: 0.500 0.500 0.000
La: 0.500 0.500 0.500
Pm: 0.000 0.500 0.500
Pm: 0.500 0.000 0.000
Pr: 0.254 0.269 0.508
Pr: 0.259 0.741 0.517
Pr: 0.259 0.741 0.983
Pr: 0.269 0.254 0.008
Pr: 0.731 0.746 0.992
Pr: 0.741 0.259 0.017
Pr: 0.741 0.259 0.483
Pr: 0.746 0.731 0.492

Values from the calculation:
- Space-group type: C2/c, No. 15
- E: -0.3145 Ry per atom
- Formation energy: 0.347 eV/atom

---

Record 6
Below is Sr3SnHg3 after structural relaxation, with properties calculated at the PBE level.

abc: 6.508 6.508 16.843
angles: 107.02 107.02 42.44
Fractional positions:
Sr: 0.032 0.032 0.389
Sr: 0.104 0.104 0.921
Sr: 0.243 0.243 0.231
Sr: 0.757 0.757 0.769
Sr: 0.896 0.896 0.079
Sr: 0.968 0.968 0.611
Sn: 0.262 0.262 0.616
Sn: 0.738 0.738 0.384
Hg: 0.367 0.367 0.463
Hg: 0.385 0.385 0.924
Hg: 0.479 0.479 0.770
Hg: 0.521 0.521 0.230
Hg: 0.615 0.615 0.076
Hg: 0.633 0.633 0.537

Values from the calculation:
- Space-group type: C2/m, No. 12
- E: -0.1426 Ry per atom
- Formation energy: -0.518 eV/atom

---

Record 7
Below is KSc2Ag after structural relaxation, with properties calculated at the PBE level.

abc: 3.362 5.629 11.433
angles: 90.00 90.00 90.00
Fractional positions:
K: 0.000 0.000 0.000
K: 0.500 0.500 0.500
Sc: 0.000 0.000 0.435
Sc: 0.000 0.500 0.201
Sc: 0.500 0.000 0.701
Sc: 0.500 0.500 0.935
Ag: 0.000 0.500 0.739
Ag: 0.500 0.000 0.239

Values from the calculation:
- Space-group type: Imm2, No. 44
- E: -0.2731 Ry per atom
- Formation energy: 0.437 eV/atom

---

Record 8
Below is Na2AcCd after structural relaxation, with properties calculated at the PBE level.

abc: 4.060 4.060 8.070
angles: 90.00 90.00 90.00
Fractional positions:
Na: 0.000 0.000 0.196
Na: 0.000 0.000 0.804
Ac: 0.500 0.500 0.500
Cd: 0.500 0.500 0.000

Values from the calculation:
- Space-group type: P4/mmm, No. 123
- E: -0.1343 Ry per atom
- Formation energy: 0.088 eV/atom

---

Record 9
Below is K2IrPt2O6 after structural relaxation, with properties calculated at the PBE level.

abc: 5.610 5.610 6.204
angles: 99.33 99.33 117.27
Fractional positions:
K: 0.171 0.829 0.000
K: 0.829 0.171 0.000
Ir: 0.000 0.000 0.500
Pt: 0.335 0.665 0.500
Pt: 0.665 0.335 0.500
O: 0.042 0.378 0.660
O: 0.271 0.271 0.343
O: 0.378 0.042 0.660
O: 0.622 0.958 0.340
O: 0.729 0.729 0.657
O: 0.958 0.622 0.340

Values from the calculation:
- Space-group type: C2/m, No. 12
- E: -0.4117 Ry per atom

---

Record 10
Below is TbZn3Br9 after structural relaxation, with properties calculated at the PBE level.

abc: 10.467 10.467 13.466
angles: 124.11 124.11 53.48
Fractional positions:
Tb: 0.228 0.772 0.500
Tb: 0.772 0.228 0.000
Zn: 0.197 0.345 0.790
Zn: 0.345 0.197 0.290
Zn: 0.568 0.718 0.336
Zn: 0.718 0.568 0.836
Zn: 0.741 0.978 0.173
Zn: 0.978 0.741 0.673
Br: 0.018 0.504 0.920
Br: 0.070 0.910 0.675
Br: 0.122 0.152 0.081
Br: 0.152 0.122 0.581
Br: 0.222 0.469 0.444
Br: 0.237 0.540 0.775
Br: 0.327 0.700 0.309
Br: 0.469 0.222 0.944
Br: 0.504 0.018 0.420
Br: 0.540 0.237 0.275
Br: 0.567 0.833 0.974
Br: 0.577 0.615 0.631
Br: 0.615 0.577 0.131
Br: 0.700 0.327 0.809
Br: 0.788 0.919 0.795
Br: 0.833 0.567 0.474
Br: 0.910 0.070 0.175
Br: 0.919 0.788 0.295

Values from the calculation:
- Space-group type: Cc, No. 9
- E: -0.2162 Ry per atom

---

Record 11
Below is Sc2CdRh after structural relaxation, with properties calculated at the PBE level.

abc: 11.182 3.330 4.687
angles: 90.00 114.13 90.00
Fractional positions:
Sc: 0.000 0.000 0.000
Sc: 0.211 0.000 0.709
Sc: 0.500 0.500 0.000
Sc: 0.711 0.500 0.709
Cd: 0.435 0.000 0.436
Cd: 0.935 0.500 0.436
Rh: 0.205 0.500 0.203
Rh: 0.705 0.000 0.203

Values from the calculation:
- Space-group type: Cm, No. 8
- E: -0.4189 Ry per atom
- Formation energy: -0.467 eV/atom

---

Record 12
Below is Pm6DyY2Mg after structural relaxation, with properties calculated at the PBE level.

abc: 9.248 9.248 8.886
angles: 90.91 90.91 119.56
Fractional positions:
Pm: 0.043 0.463 0.803
Pm: 0.116 0.797 0.552
Pm: 0.203 0.884 0.948
Pm: 0.265 0.538 0.410
Pm: 0.462 0.735 0.090
Pm: 0.463 0.043 0.303
Pm: 0.537 0.957 0.697
Pm: 0.538 0.265 0.910
Pm: 0.735 0.462 0.590
Pm: 0.797 0.116 0.052
Pm: 0.884 0.203 0.448
Pm: 0.957 0.537 0.197
Dy: 0.035 0.965 0.250
Dy: 0.965 0.035 0.750
Y: 0.222 0.315 0.050
Y: 0.315 0.222 0.550
Y: 0.685 0.778 0.450
Y: 0.778 0.685 0.950
Mg: 0.444 0.556 0.750
Mg: 0.556 0.444 0.250

Values from the calculation:
- Space-group type: C2/c, No. 15
- E: -0.3415 Ry per atom
- Formation energy: 0.117 eV/atom